Material: Zr3CoF6
Method: DFT, GGA+U
State: optimized geometry

SG: P-1
Raw total energy, eV per atom: -6.242
Polymorph energy (0 for the lowest one), eV per formula unit: 3.89

```
10
Lattice="6.097 0.178 0.506 -2.518 5.876 -0.966 -0.341 -2.929 5.160" Properties=species:S:1:pos:R:3 pbc="T T T"
F 1.205 0.173 2.777
F 0.022 1.900 0.881
Zr 1.790 3.027 -0.230
F 2.034 2.952 1.923
F 1.937 5.156 0.518
F 3.216 1.224 3.819
Zr -1.259 2.938 -0.483
Zr -0.171 -1.464 2.580
Co 0.000 0.000 0.000
F 1.301 -2.032 4.182
```